[1]
BaHg4Pd PBE relaxed; energy of formation = -175 meV/atom; density of states at the Fermi level = 2.99 states/eV per cell; uncorrected energy = -1.56 eV per atom; crystal system = cubic; calculated volume = 157.8 Å³/cell; space-group type = F-43m, No. 216
1.0
0.000 4.289 4.289
4.289 0.000 4.289
4.289 4.289 0.000
Ba Hg Pd
1 4 1
Direct
0.000 0.000 0.000 Ba
0.376 0.376 0.376 Hg
0.376 0.376 0.872 Hg
0.376 0.872 0.376 Hg
0.872 0.376 0.376 Hg
0.750 0.750 0.750 Pd


[2]
CaUPb2O8 PBE relaxed; ΔE_f (raw) = -1.99 eV/atom; uncorrected energy = -7.02 eV per atom; crystal system = orthorhombic; calculated volume = 182.7 Å³/cell; space-group type = Cmmm, No. 65
1.0
3.640 -3.697 0.000
3.640 3.697 0.000
0.000 0.000 6.791
Ca U Pb O
1 1 2 8
Direct
0.000 0.000 0.000 Ca
0.000 0.000 0.500 U
0.500 0.500 0.247 Pb
0.500 0.500 0.753 Pb
0.188 0.188 0.280 O
0.188 0.188 0.720 O
0.306 0.694 0.500 O
0.313 0.687 0.000 O
0.687 0.313 0.000 O
0.694 0.306 0.500 O
0.812 0.812 0.280 O
0.812 0.812 0.720 O


[3]
LiAcPd3 PBE relaxed; energy of formation = -562 meV/atom; density of states at the Fermi level = 1.30 states/eV per cell; uncorrected energy = -4.88 eV per atom; crystal system = tetragonal; calculated volume = 98.4 Å³/cell; space-group type = I4mm, No. 107
1.0
-2.196 2.196 5.101
2.196 -2.196 5.101
2.196 2.196 -5.101
Li Ac Pd
1 1 3
Direct
0.000 0.000 0.000 Li
0.350 0.350 0.000 Ac
0.104 0.604 0.500 Pd
0.604 0.104 0.500 Pd
0.766 0.766 0.000 Pd


[4]
Ba2Sr6PdPt PBE relaxed; energy of formation = -352 meV/atom; density of states at the Fermi level = 8.05 states/eV per cell; uncorrected energy = -2.87 eV per atom; crystal system = monoclinic; calculated volume = 460.8 Å³/cell; space-group type = Cm, No. 8
1.0
6.131 -6.128 0.000
6.131 6.128 0.000
-6.122 0.000 6.132
Ba Sr Pd Pt
2 6 1 1
Direct
0.250 0.750 0.000 Ba
0.750 0.250 0.000 Ba
0.247 0.247 0.500 Sr
0.247 0.247 0.994 Sr
0.248 0.752 0.500 Sr
0.752 0.248 0.500 Sr
0.752 0.752 0.004 Sr
0.752 0.752 0.500 Sr
0.499 0.499 0.499 Pd
0.000 0.000 0.499 Pt


[5]
Ac2LuPu PBE relaxed; energy of formation = 205 meV/atom; density of states at the Fermi level = 16.29 states/eV per cell; uncorrected energy = -6.56 eV per atom; crystal system = tetragonal; calculated volume = 143.8 Å³/cell; space-group type = P4/mmm, No. 123
1.0
5.366 0.000 0.000
0.000 5.366 0.000
0.000 0.000 4.993
Ac Lu Pu
2 1 1
Direct
0.000 0.500 0.000 Ac
0.500 0.000 0.000 Ac
0.000 0.000 0.500 Lu
0.500 0.500 0.500 Pu


[6]
K4Ce3PmSe8 PBE relaxed; ΔE_f (raw) = -1.71 eV/atom; density of states at the Fermi level = 18.36 states/eV per cell; uncorrected energy = -5.13 eV per atom; crystal system = trigonal; calculated volume = 506.8 Å³/cell; space-group type = R-3m, No. 166
1.0
4.366 2.521 7.674
-4.366 2.521 7.674
0.000 -5.042 7.674
K Ce Pm Se
4 3 1 8
Direct
0.000 0.000 0.000 K
0.000 0.500 0.500 K
0.500 0.000 0.500 K
0.500 0.500 0.000 K
0.000 0.000 0.500 Ce
0.000 0.500 0.000 Ce
0.500 0.000 0.000 Ce
0.500 0.500 0.500 Pm
0.237 0.237 0.237 Se
0.238 0.736 0.736 Se
0.264 0.264 0.762 Se
0.264 0.762 0.264 Se
0.736 0.238 0.736 Se
0.736 0.736 0.238 Se
0.762 0.264 0.264 Se
0.763 0.763 0.763 Se


[7]
NaMn2CdBr8 PBE relaxed; ΔE_f (raw) = -0.78 eV/atom; density of states at the Fermi level = 9.23 states/eV per cell; uncorrected energy = -3.61 eV per atom; crystal system = trigonal; calculated volume = 394.9 Å³/cell; space-group type = P-3, No. 147
1.0
6.987 0.000 0.000
-3.494 6.051 0.000
0.000 0.000 9.339
Na Mn Cd Br
1 2 1 8
Direct
0.000 0.000 0.000 Na
0.333 0.667 0.745 Mn
0.667 0.333 0.255 Mn
0.000 0.000 0.500 Cd
0.002 0.684 0.316 Br
0.316 0.319 0.316 Br
0.319 0.002 0.684 Br
0.333 0.667 0.999 Br
0.667 0.333 0.001 Br
0.681 0.998 0.316 Br
0.684 0.681 0.684 Br
0.998 0.316 0.684 Br


[8]
Li2Dy2HoMg5 PBE relaxed; energy of formation = -20 meV/atom; density of states at the Fermi level = 14.86 states/eV per cell; uncorrected energy = -2.58 eV per atom; crystal system = tetragonal; calculated volume = 489.8 Å³/cell; space-group type = P4/mbm, No. 127
1.0
10.541 0.000 0.000
0.000 10.541 0.000
0.000 0.000 4.408
Li Dy Ho Mg
4 4 2 10
Direct
0.115 0.385 0.000 Li
0.385 0.885 0.000 Li
0.615 0.115 0.000 Li
0.885 0.615 0.000 Li
0.180 0.680 0.000 Dy
0.320 0.180 0.000 Dy
0.680 0.820 0.000 Dy
0.820 0.320 0.000 Dy
0.000 0.000 0.000 Ho
0.500 0.500 0.000 Ho
0.000 0.500 0.500 Mg
0.064 0.213 0.500 Mg
0.213 0.936 0.500 Mg
0.287 0.436 0.500 Mg
0.436 0.713 0.500 Mg
0.500 0.000 0.500 Mg
0.564 0.287 0.500 Mg
0.713 0.564 0.500 Mg
0.787 0.064 0.500 Mg
0.936 0.787 0.500 Mg


Q: Look up the uncorrected energy of the third one.
A: -4.88 eV per atom


Repeat the first record exactly.
BaHg4Pd PBE relaxed; energy of formation = -175 meV/atom; density of states at the Fermi level = 2.99 states/eV per cell; uncorrected energy = -1.56 eV per atom; crystal system = cubic; calculated volume = 157.8 Å³/cell; space-group type = F-43m, No. 216
1.0
0.000 4.289 4.289
4.289 0.000 4.289
4.289 4.289 0.000
Ba Hg Pd
1 4 1
Direct
0.000 0.000 0.000 Ba
0.376 0.376 0.376 Hg
0.376 0.376 0.872 Hg
0.376 0.872 0.376 Hg
0.872 0.376 0.376 Hg
0.750 0.750 0.750 Pd